Record 1
A relaxed BaNpS2 crystal. Source: Alexandria, functional GGA-PBE.

Symmetry = R-3m, No. 166
Uncorrected formation energy = -1.604 eV per atom
Electronic total energy = -7.384 eV/atom

Cell and atoms, written as POSCAR:
```
BaNpS2
1.0
2.075 1.198 7.125
-2.075 1.198 7.125
0.000 -2.396 7.125
Ba Np S
1 1 2
Direct
0.000 0.000 0.000 Ba
0.500 0.500 0.500 Np
0.236 0.236 0.236 S
0.764 0.764 0.764 S
```

---

Record 2
A relaxed Cs3TlSn2I9 crystal. Source: Alexandria, functional GGA-PBE.

Symmetry = P-3m1, No. 164
Uncorrected formation energy = -0.922 eV per atom
Electronic total energy = -2.714 eV/atom

Cell and atoms, written as POSCAR:
```
Cs3TlSn2I9
1.0
8.897 0.000 0.000
-4.448 7.705 0.000
0.000 0.000 10.949
Cs Tl Sn I
3 1 2 9
Direct
0.000 0.000 0.000 Cs
0.333 0.667 0.668 Cs
0.667 0.333 0.332 Cs
0.000 0.000 0.500 Tl
0.333 0.667 0.165 Sn
0.667 0.333 0.835 Sn
0.000 0.500 0.000 I
0.173 0.346 0.323 I
0.173 0.827 0.323 I
0.346 0.173 0.677 I
0.500 0.000 0.000 I
0.500 0.500 0.000 I
0.654 0.827 0.323 I
0.827 0.173 0.677 I
0.827 0.654 0.677 I
```

---

Record 3
A relaxed Pa4Al12Fe crystal. Source: Alexandria, functional GGA-PBE.

Symmetry = Im-3m, No. 229
Electronic total energy = -5.683 eV/atom

Cell and atoms, written as POSCAR:
```
Pa4Al12Fe
1.0
-4.310 4.310 4.310
4.310 -4.310 4.310
4.310 4.310 -4.310
Pa Al Fe
4 12 1
Direct
0.000 0.000 0.500 Pa
0.000 0.500 0.000 Pa
0.500 0.000 0.000 Pa
0.500 0.500 0.500 Pa
0.000 0.283 0.283 Al
0.000 0.717 0.717 Al
0.250 0.500 0.750 Al
0.250 0.750 0.500 Al
0.283 0.000 0.283 Al
0.283 0.283 0.000 Al
0.500 0.250 0.750 Al
0.500 0.750 0.250 Al
0.717 0.000 0.717 Al
0.717 0.717 0.000 Al
0.750 0.250 0.500 Al
0.750 0.500 0.250 Al
0.000 0.000 0.000 Fe
```